Entry 1:
AgPCl | meta-GGA SCAN | single point on PBEsol structure

extended XYZ file:
```
3
Lattice="0.0000 3.1270 3.1270 3.1270 0.0000 3.1270 3.1270 3.1270 0.0000" Properties=species:S:1:pos:R:3 pbc="T T T"
Ag 0.0000 0.0000 0.0000
P 4.6904 4.6904 4.6904
Cl 3.1270 3.1270 3.1270
```

Summary:
Energy above the most stable polymorph in this dataset, eV per atom: 0.411
Formation energy without anion corrections, kJ per mole of atoms: 76.25
DOS(E_F), states/eV per atom: 0.915


Entry 2:
ZnReP4 | meta-GGA SCAN | single point on PBEsol structure

extended XYZ file:
```
6
Lattice="0.0000 3.4590 3.4590 3.4590 0.0000 3.4590 3.4590 3.4590 0.0000" Properties=species:S:1:pos:R:3 pbc="T T T"
Zn 0.0000 0.0000 0.0000
Re 1.7295 1.7295 1.7295
P 4.3235 2.5944 2.5944
P 2.5944 4.3235 2.5944
P 2.5944 2.5944 4.3235
P 4.3235 4.3235 4.3235
```

Summary:
VASP energy, hartree per atom: -0.732
DOS(E_F), states/eV per atom: 0.933


Entry 3:
K2SbH5O6 | meta-GGA SCAN | single point on PBEsol structure

extended XYZ file:
```
28
Lattice="5.2082 0.0000 0.0000 0.5437 6.6002 0.0000 2.0383 0.7751 8.6376" Properties=species:S:1:pos:R:3 pbc="T T T"
K 1.9174 1.8162 3.6424
K 3.6880 5.2537 8.0513
K 4.1021 2.1216 0.5863
K 5.8727 5.5591 4.9952
Sb 4.0593 2.1122 6.2866
Sb 3.7309 5.2631 2.3510
H 1.4994 6.5278 1.9121
H 1.4633 3.9900 2.3252
H 3.0155 4.2319 5.1044
H 1.6218 0.9490 0.1456
H 3.3042 6.6377 5.3251
H 4.4860 0.7376 3.3125
H 6.1684 6.4263 8.4921
H 4.7747 3.1434 3.5332
H 6.3269 3.3853 6.3124
H 6.2908 0.8475 6.7255
O 2.6978 3.5143 5.7783
O 2.6497 0.6543 6.1478
O 3.3668 2.4315 8.1323
O 2.4418 6.6265 1.5514
O 2.3982 3.8062 1.9890
O 3.1899 5.5498 4.1982
O 4.6002 1.8255 4.4394
O 5.3920 3.5691 6.6487
O 5.3483 0.7488 7.0862
O 4.4233 4.9438 0.5053
O 5.1404 6.7210 2.4899
O 5.0924 3.8610 2.8593
```

Summary:
VASP energy, hartree per atom: -0.338
DOS(E_F), states/eV per atom: 0.000


Size of the total moment values (in μB per formula unit) by entry order: 0.000, 0.002, 0.098.